(a)
## KSrS3 (PBE-GGA)

Data for a geometry-optimized KSrS3 structure.

Structure (POSCAR):
```
KSrS3
1.0
5.426 0.000 0.000
0.000 5.426 0.000
0.000 0.000 5.426
Sr S K
1 3 1
Direct
0.500 0.500 0.500
0.000 0.500 0.000
0.000 0.000 0.500
0.500 0.000 0.000
0.000 0.000 0.000
```

Summary:
* space group: No. 221
* total moment: 3.00 μB/cell
* DOS(E_F): 0.587 states/eV/atom

***

(b)
## KSrS3 (PBE-GGA)

Data for a geometry-optimized KSrS3 structure.

Structure (POSCAR):
```
KSrS3
1.0
-0.740 4.677 -3.157
-3.163 -2.981 -3.675
-4.674 1.277 2.987
S K Sr
3 1 1
Direct
0.500 0.000 0.000
0.000 0.000 0.500
0.000 0.500 0.000
0.500 0.500 0.500
0.000 0.000 0.000
```

Summary:
* space group: No. 221
* total moment: 3.00 μB/cell
* DOS(E_F): 0.465 states/eV/atom

***

Pick (b): it beats the second-best structure by 0.441 eV/atom.